(1)
Sc2CuAs: relaxed, PBE.

Unit cell a=3.859 b=3.859 c=5.427 alpha=90.00 beta=90.00 gamma=90.00
Space group P4/mmm (No. 123)
Unique sites:
Sc (0.000, 0.000, 0.000) [1 per cell]
Sc (0.500, 0.500, 0.500) [1 per cell]
Cu (0.000, 0.000, 0.500) [1 per cell]
As (0.500, 0.500, 0.000) [1 per cell]

=====

(2)
ScCuAs2: relaxed, PBE.

Unit cell a=4.164 b=5.592 c=6.243 alpha=90.00 beta=90.00 gamma=90.00
Space group Cmmm (No. 65)
Unique sites:
Sc (0.000, 0.000, 0.000) [2 per cell]
Cu (0.000, 0.000, 0.500) [2 per cell]
As (0.000, 0.500, 0.268) [4 per cell]

=====

(3)
ScCuAs2: relaxed, PBE.

Unit cell a=3.690 b=3.690 c=5.381 alpha=90.00 beta=90.00 gamma=90.00
Space group P4mm (No. 99)
Unique sites:
Sc (0.000, 0.000, 0.000) [1 per cell]
Cu (0.500, 0.500, 0.623) [1 per cell]
As (0.000, 0.000, 0.512) [1 per cell]
As (0.500, 0.500, 0.122) [1 per cell]

=====

(4)
ScCuAs2: relaxed, PBE.

Unit cell a=3.518 b=3.518 c=5.630 alpha=90.00 beta=90.00 gamma=90.00
Space group P4/mmm (No. 123)
Unique sites:
Sc (0.000, 0.000, 0.000) [1 per cell]
Cu (0.000, 0.000, 0.500) [1 per cell]
As (0.500, 0.500, 0.264) [2 per cell]

=====

(5)
ScCuAs2: relaxed, PBE.

Unit cell a=7.037 b=7.037 c=5.871 alpha=90.00 beta=90.00 gamma=90.00
Space group I-42d (No. 122)
Unique sites:
Sc (0.000, 0.000, 0.000) [4 per cell]
Cu (0.000, 0.000, 0.500) [4 per cell]
As (0.211, 0.750, 0.625) [8 per cell]

=====

(6)
ScCuAs2: relaxed, PBE.

Unit cell a=6.561 b=6.561 c=6.561 alpha=90.00 beta=90.00 gamma=90.00
Space group Fm-3m (No. 225)
Unique sites:
Sc (0.000, 0.000, 0.000) [4 per cell]
Cu (0.000, 0.000, 0.500) [4 per cell]
As (0.250, 0.250, 0.250) [8 per cell]

=====

(7)
ScCu2As2: relaxed, PBE.

Unit cell a=7.271 b=7.271 c=3.136 alpha=90.00 beta=90.00 gamma=90.00
Space group P4/mbm (No. 127)
Unique sites:
Sc (0.000, 0.000, 0.000) [2 per cell]
Cu (0.132, 0.368, 0.500) [4 per cell]
As (0.164, 0.664, 0.000) [4 per cell]

=====

(8)
ScCu3As: relaxed, PBE.

Computed properties:
polymorph energy (0 for the lowest one) = 0 meV/atom

Unit cell a=4.496 b=4.496 c=4.496 alpha=90.00 beta=90.00 gamma=90.00
Space group Pm-3m (No. 221)
Unique sites:
Sc (0.000, 0.000, 0.000) [1 per cell]
Cu (0.000, 0.500, 0.500) [3 per cell]
As (0.500, 0.500, 0.500) [1 per cell]

=====

Looking at DOS(E_F) for the records above, in order, we have 1.271 0.311 0.504 0.704 0.201 1.038 0.472 0.771 states/eV per atom.
Looking at DFT formation energy for the records above, in order, we have -574 -342 -483 -325 -447 -275 -219 278 meV/atom.